Entry 1:
Here is a relaxed EuPuBiPb crystal from Alexandria via LeMat-Bulk. Energies are from GGA-PBE.

## Properties
Formation enthalpy at 0 K = -0.35 eV per atom
Total DFT energy (no corrections) = -8.396 eV per atom
Space group = F-43m (216)

Cell lengths 5.5860, 5.5860, 5.5860 Å; angles 60.00, 60.00, 60.00 degrees
With the nearest neighbours (Å) after each atom.
Element x y z (fractional)
Eu (0.0000, 0.0000, 0.0000)  4 Pb 3.42, 4 Bi 3.42
Pu (0.5000, 0.5000, 0.5000)  4 Bi 3.42, 4 Pb 3.42
Bi (0.7500, 0.7500, 0.7500)  4 Eu 3.42, 4 Pu 3.42
Pb (0.2500, 0.2500, 0.2500)  4 Pu 3.42, 4 Eu 3.42



Entry 2:
Here is a relaxed EuBiSbPb crystal from Alexandria via LeMat-Bulk. Energies are from GGA-PBE.

## Properties
E_form (uncorrected) = -0.35 eV/atom
Total DFT energy (no corrections) = -5.848 eV per atom
Space group = F-43m (216)

Cell lengths 5.6385, 5.6385, 5.6385 Å; angles 60.00, 60.00, 60.00 degrees
With the nearest neighbours (Å) after each atom.
Element x y z (fractional)
Eu (0.0000, 0.0000, 0.0000)  4 Bi 3.45, 4 Sb 3.45
Bi (0.2500, 0.2500, 0.2500)  4 Pb 3.45, 4 Eu 3.45
Sb (0.7500, 0.7500, 0.7500)  4 Pb 3.45, 4 Eu 3.45
Pb (0.5000, 0.5000, 0.5000)  4 Sb 3.45, 4 Bi 3.45



Entry 3:
Here is a relaxed SmEuBiPb crystal from Alexandria via LeMat-Bulk. Energies are from GGA-PBE.

## Properties
Formation enthalpy at 0 K = -0.54 eV per atom
Total DFT energy (no corrections) = -6.185 eV per atom
Space group = F-43m (216)

Cell lengths 5.6318, 5.6318, 5.6318 Å; angles 60.00, 60.00, 60.00 degrees
With the nearest neighbours (Å) after each atom.
Element x y z (fractional)
Sm (0.0000, 0.0000, 0.0000)  4 Pb 3.45, 4 Bi 3.45
Eu (0.5000, 0.5000, 0.5000)  4 Pb 3.45, 4 Bi 3.45
Bi (0.2500, 0.2500, 0.2500)  4 Sm 3.45, 4 Eu 3.45
Pb (0.7500, 0.7500, 0.7500)  4 Sm 3.45, 4 Eu 3.45



Entry 4:
Here is a relaxed EuSnBiPb crystal from Alexandria via LeMat-Bulk. Energies are from GGA-PBE.

## Properties
Formation enthalpy at 0 K = -0.29 eV per atom
Total DFT energy (no corrections) = -5.759 eV per atom
Space group = F-43m (216)

Cell lengths 5.6325, 5.6325, 5.6325 Å; angles 60.00, 60.00, 60.00 degrees
With the nearest neighbours (Å) after each atom.
Element x y z (fractional)
Eu (0.0000, 0.0000, 0.0000)  4 Sn 3.45, 4 Bi 3.45
Sn (0.2500, 0.2500, 0.2500)  4 Pb 3.45, 4 Eu 3.45
Bi (0.7500, 0.7500, 0.7500)  4 Pb 3.45, 4 Eu 3.45
Pb (0.5000, 0.5000, 0.5000)  4 Sn 3.45, 4 Bi 3.45



Entry 5:
Here is a relaxed TbEuBiPb crystal from Alexandria via LeMat-Bulk. Energies are from GGA-PBE.

## Properties
Formation enthalpy at 0 K = -0.52 eV per atom
Total DFT energy (no corrections) = -6.139 eV per atom
Space group = F-43m (216)

Cell lengths 5.5950, 5.5950, 5.5950 Å; angles 60.00, 60.00, 60.00 degrees
With the nearest neighbours (Å) after each atom.
Element x y z (fractional)
Tb (0.0000, 0.0000, 0.0000)  4 Bi 3.43, 4 Pb 3.43
Eu (0.5000, 0.5000, 0.5000)  4 Pb 3.43, 4 Bi 3.43
Bi (0.7500, 0.7500, 0.7500)  4 Tb 3.43, 4 Eu 3.43
Pb (0.2500, 0.2500, 0.2500)  4 Tb 3.43, 4 Eu 3.43



Entry 6:
Here is a relaxed EuTmBiPb crystal from Alexandria via LeMat-Bulk. Energies are from GGA-PBE.

## Properties
Formation enthalpy at 0 K = -0.47 eV per atom
Total DFT energy (no corrections) = -6.057 eV per atom
Space group = F-43m (216)

Cell lengths 5.5612, 5.5612, 5.5612 Å; angles 60.00, 60.00, 60.00 degrees
With the nearest neighbours (Å) after each atom.
Element x y z (fractional)
Eu (0.0000, 0.0000, 0.0000)  4 Pb 3.41, 4 Bi 3.41
Tm (0.5000, 0.5000, 0.5000)  4 Pb 3.41, 4 Bi 3.41
Bi (0.2500, 0.2500, 0.2500)  4 Tm 3.41, 4 Eu 3.41
Pb (0.7500, 0.7500, 0.7500)  4 Tm 3.41, 4 Eu 3.41



Entry 7:
Here is a relaxed EuYBiPb crystal from Alexandria via LeMat-Bulk. Energies are from GGA-PBE.

## Properties
Formation enthalpy at 0 K = -0.53 eV per atom
Total DFT energy (no corrections) = -6.608 eV per atom
Space group = F-43m (216)

Cell lengths 5.5919, 5.5919, 5.5919 Å; angles 60.00, 60.00, 60.00 degrees
With the nearest neighbours (Å) after each atom.
Element x y z (fractional)
Eu (0.0000, 0.0000, 0.0000)  4 Pb 3.42, 4 Bi 3.42
Y (0.5000, 0.5000, 0.5000)  4 Pb 3.42, 4 Bi 3.42
Bi (0.2500, 0.2500, 0.2500)  4 Y 3.42, 4 Eu 3.42
Pb (0.7500, 0.7500, 0.7500)  4 Y 3.42, 4 Eu 3.42



Entry 8:
Here is a relaxed EuZnBiPb crystal from Alexandria via LeMat-Bulk. Energies are from GGA-PBE.

## Properties
Formation enthalpy at 0 K = -0.25 eV per atom
Total DFT energy (no corrections) = -5.029 eV per atom
Space group = F-43m (216)

Cell lengths 5.5096, 5.5096, 5.5096 Å; angles 60.00, 60.00, 60.00 degrees
With the nearest neighbours (Å) after each atom.
Element x y z (fractional)
Eu (0.0000, 0.0000, 0.0000)  4 Bi 3.37, 4 Zn 3.37
Zn (0.2500, 0.2500, 0.2500)  4 Pb 3.37, 4 Eu 3.37
Bi (0.7500, 0.7500, 0.7500)  4 Pb 3.37, 4 Eu 3.37
Pb (0.5000, 0.5000, 0.5000)  4 Bi 3.37, 4 Zn 3.37



Entry 9:
Here is a relaxed Eu2BiPd crystal from Alexandria via LeMat-Bulk. Energies are from GGA-PBE.

## Properties
Formation enthalpy at 0 K = -0.70 eV per atom
Total DFT energy (no corrections) = -8.109 eV per atom
Space group = P4/mmm (123)

Cell lengths 3.6743, 3.6743, 8.3267 Å; angles 90.00, 90.00, 90.00 degrees
With the nearest neighbours (Å) after each atom.
Element x y z (fractional)
Eu (0.0000, 0.0000, 0.2160)  4 Pd 3.16, 4 Bi 3.51
Eu (0.0000, 0.0000, 0.7840)  4 Pd 3.16, 4 Bi 3.51
Bi (0.5000, 0.5000, 0.5000)  8 Eu 3.51, 4 Bi 3.67
Pd (0.5000, 0.5000, 0.0000)  8 Eu 3.16



Entry 10:
Here is a relaxed EuBiPd2 crystal from Alexandria via LeMat-Bulk. Energies are from GGA-PBE.

## Properties
Formation enthalpy at 0 K = -0.45 eV per atom
Total DFT energy (no corrections) = -6.580 eV per atom
Space group = P4/mmm (123)

Cell lengths 3.6610, 3.6610, 6.7469 Å; angles 90.00, 90.00, 90.00 degrees
With the nearest neighbours (Å) after each atom.
Element x y z (fractional)
Eu (0.0000, 0.0000, 0.0000)  8 Pd 3.16, 2 Bi 3.37
Bi (0.0000, 0.0000, 0.5000)  8 Pd 3.03, 2 Eu 3.37
Pd (0.5000, 0.5000, 0.2678)  4 Bi 3.03, 1 Pd 3.13, 4 Eu 3.16
Pd (0.5000, 0.5000, 0.7322)  4 Bi 3.03, 1 Pd 3.13, 4 Eu 3.16



Entry 11:
Here is a relaxed EuBiPd crystal from Alexandria via LeMat-Bulk. Energies are from GGA-PBE.

## Properties
Formation enthalpy at 0 K = -0.50 eV per atom
Total DFT energy (no corrections) = -6.949 eV per atom
Space group = I4mm (107)

Cell lengths 6.2167, 6.2167, 6.2167 Å; angles 145.03, 145.03, 50.29 degrees
With the nearest neighbours (Å) after each atom.
Element x y z (fractional)
Eu (0.0000, 0.0000, 0.0000)  4 Pd 3.28, 5 Bi 3.29-3.53
Bi (0.2919, 0.2919, 0.0000)  4 Pd 2.97, 1 Eu 3.29
Pd (0.6721, 0.6721, 0.0000)  4 Bi 2.97, 4 Eu 3.28



Entry 12:
Here is a relaxed EuBiPd4 crystal from Alexandria via LeMat-Bulk. Energies are from GGA-PBE.

## Properties
Formation enthalpy at 0 K = -0.46 eV per atom
Total DFT energy (no corrections) = -6.282 eV per atom
Space group = F-43m (216)

Cell lengths 5.4979, 5.4979, 5.4979 Å; angles 60.00, 60.00, 60.00 degrees
With the nearest neighbours (Å) after each atom.
Element x y z (fractional)
Eu (0.0000, 0.0000, 0.0000)  12 Pd 3.22, 4 Bi 3.37
Bi (0.7500, 0.7500, 0.7500)  12 Pd 3.22, 4 Eu 3.37
Pd (0.3752, 0.3752, 0.3752)  6 Pd 2.75
Pd (0.3752, 0.3752, 0.8745)  6 Pd 2.75
Pd (0.3752, 0.8745, 0.3752)  6 Pd 2.75
Pd (0.8745, 0.3752, 0.3752)  6 Pd 2.75



Entry 13:
Here is a relaxed Eu2Bi3Pd3 crystal from Alexandria via LeMat-Bulk. Energies are from GGA-PBE.

## Properties
Formation enthalpy at 0 K = 0.29 eV per atom
Total DFT energy (no corrections) = -5.686 eV per atom
Space group = P4/mmm (123)

Cell lengths 3.1884, 3.1884, 22.7682 Å; angles 90.00, 90.00, 90.00 degrees
With the nearest neighbours (Å) after each atom.
Element x y z (fractional)
Eu (0.0000, 0.0000, 0.2382)  1 Pd 2.69
Eu (0.0000, 0.0000, 0.7618)  1 Pd 2.69
Bi (0.0000, 0.0000, 0.0000)  2 Pd 2.74
Bi (0.0000, 0.0000, 0.3833)  1 Pd 2.66
Bi (0.0000, 0.0000, 0.6167)  1 Pd 2.66
Pd (0.0000, 0.0000, 0.1202)  1 Eu 2.69, 1 Bi 2.74
Pd (0.0000, 0.0000, 0.5000)  2 Bi 2.66
Pd (0.0000, 0.0000, 0.8798)  1 Eu 2.69, 1 Bi 2.74



Entry 14:
Here is a relaxed EuBiPd2 crystal from Alexandria via LeMat-Bulk. Energies are from GGA-PBE.

## Properties
Formation enthalpy at 0 K = -0.53 eV per atom
Total DFT energy (no corrections) = -6.666 eV per atom
Space group = P4/mmm (123)

Cell lengths 4.8097, 4.8097, 3.8489 Å; angles 90.00, 90.00, 90.00 degrees
With the nearest neighbours (Å) after each atom.
Element x y z (fractional)
Eu (0.0000, 0.0000, 0.0000)  8 Pd 3.08, 4 Bi 3.40
Bi (0.5000, 0.5000, 0.0000)  8 Pd 3.08, 4 Eu 3.40
Pd (0.0000, 0.5000, 0.5000)  4 Bi 3.08, 4 Eu 3.08, 4 Pd 3.40
Pd (0.5000, 0.0000, 0.5000)  4 Bi 3.08, 4 Eu 3.08, 4 Pd 3.40



Entry 15:
Here is a relaxed EuBiPd2 crystal from Alexandria via LeMat-Bulk. Energies are from GGA-PBE.

## Properties
Formation enthalpy at 0 K = -0.58 eV per atom
Total DFT energy (no corrections) = -6.716 eV per atom
Space group = Fm-3m (225)

Cell lengths 4.9888, 4.9888, 4.9888 Å; angles 60.00, 60.00, 60.00 degrees
With the nearest neighbours (Å) after each atom.
Element x y z (fractional)
Eu (0.0000, 0.0000, 0.0000)  8 Pd 3.06
Bi (0.5000, 0.5000, 0.5000)  8 Pd 3.06
Pd (0.2500, 0.2500, 0.2500)  4 Bi 3.06, 4 Eu 3.06
Pd (0.7500, 0.7500, 0.7500)  4 Bi 3.06, 4 Eu 3.06